Computed, not measured: ZrBe2Al after structural relaxation at the PBE level of DFT.

Cell: 4.3222 4.3222 4.3222 Å, 60.00 60.00 60.00°
Closest atoms and distances in Å follow each position.
Fractional positions:
1 Be 0.0000 0.0000 0.0000  4 Be 2.65, 4 Zr 2.65
2 Be 0.2500 0.2500 0.2500  4 Al 2.65, 4 Be 2.65
3 Zr 0.7500 0.7500 0.7500  4 Be 2.65, 4 Al 2.65
4 Al 0.5000 0.5000 0.5000  4 Zr 2.65, 4 Be 2.65

The formation energy from the elements is 0.18 eV per atom. Its theoretical density is 3.96 g cm⁻³.